# 1
RbBiPS2 | SCAN | PBEsol geometry

DOS(E_F): 2.12 states/eV/f.u.
Formation energy (no corrections): 0.09 eV/atom
Crystal system: tetragonal
Raw total energy: -25.703 eV/atom

The structure in CIF format:
```
data_RbBiPS2
_space_group_name_H-M_alt 'P 4/m m m'
_space_group_IT_number 123
_space_group_name_Hall '-P 4 2'
_cell_length_a 5.3481
_cell_length_b 5.3481
_cell_length_c 5.2928
_cell_angle_alpha 90.00
_cell_angle_beta 90.00
_cell_angle_gamma 90.00
loop_
_atom_site_label
_atom_site_type_symbol
_atom_site_fract_x
_atom_site_fract_y
_atom_site_fract_z
_atom_site_occupancy
Rb1 Rb 0.0000 0.0000 0.0000 1
Bi1 Bi 0.5000 0.5000 0.5000 1
P1 P 0.5000 0.5000 0.0000 1
S1 S 0.0000 0.5000 0.5000 1
```



# 2
CoHg2Se | SCAN | PBEsol geometry

DOS(E_F): 1.92 states/eV/f.u.
Formation energy (no corrections): 0.44 eV/atom
Crystal system: tetragonal
Raw total energy: -42.985 eV/atom

The structure in CIF format:
```
data_CoHg2Se
_space_group_name_H-M_alt 'P 4/m m m'
_space_group_IT_number 123
_space_group_name_Hall '-P 4 2'
_cell_length_a 2.8978
_cell_length_b 2.8978
_cell_length_c 8.9514
_cell_angle_alpha 90.00
_cell_angle_beta 90.00
_cell_angle_gamma 90.00
loop_
_atom_site_label
_atom_site_type_symbol
_atom_site_fract_x
_atom_site_fract_y
_atom_site_fract_z
_atom_site_occupancy
Co1 Co 0.0000 0.0000 0.0000 1
Hg1 Hg 0.5000 0.5000 0.1981 1
Se1 Se 0.0000 0.0000 0.5000 1
```



# 3
Na2H6PtO6 | SCAN | PBEsol geometry

DOS(E_F): 0.00 states/eV/f.u.
Crystal system: trigonal
Raw total energy: -10.332 eV/atom

The structure in CIF format:
```
data_Na2H6PtO6
_space_group_name_H-M_alt 'P -3'
_space_group_IT_number 147
_cell_length_a 5.8482
_cell_length_b 5.8482
_cell_length_c 4.3907
_cell_angle_alpha 90.00
_cell_angle_beta 90.00
_cell_angle_gamma 120.00
loop_
_space_group_symop_operation_xyz
'x,y,z'
'-x,-y,-z'
'-y,x-y,z'
'y,-x+y,-z'
'-x+y,-x,z'
'x-y,x,-z'
loop_
_atom_site_label
_atom_site_type_symbol
_atom_site_fract_x
_atom_site_fract_y
_atom_site_fract_z
_atom_site_occupancy
Na1 Na 0.3333 0.6667 0.0473 1
H1 H 0.1427 0.3253 0.5740 1
Pt1 Pt 0.0000 0.0000 0.0000 1
O1 O 0.0153 0.2952 0.7435 1
```



# 4
GaAu2N2 | SCAN | PBEsol geometry

DOS(E_F): 1.09 states/eV/f.u.
Formation energy (no corrections): 1.22 eV/atom
Crystal system: tetragonal
Raw total energy: -33.431 eV/atom

The structure in CIF format:
```
data_GaAu2N2
_space_group_name_H-M_alt 'I 4/m m m'
_space_group_IT_number 139
_space_group_name_Hall '-I 4 2'
_cell_length_a 4.1252
_cell_length_b 4.1252
_cell_length_c 8.6828
_cell_angle_alpha 90.00
_cell_angle_beta 90.00
_cell_angle_gamma 90.00
loop_
_atom_site_label
_atom_site_type_symbol
_atom_site_fract_x
_atom_site_fract_y
_atom_site_fract_z
_atom_site_occupancy
Ga1 Ga 0.0000 0.0000 0.0000 1
Au1 Au 0.0000 0.0000 0.3251 1
N1 N 0.0000 0.5000 0.2500 1
```



# 5
TaP2O8 | SCAN | PBEsol geometry

DOS(E_F): 0.74 states/eV/f.u.
Formation energy (no corrections): -2.39 eV/atom
Crystal system: orthorhombic
Raw total energy: -14.868 eV/atom

The structure in CIF format:
```
data_TaP2O8
_space_group_name_H-M_alt 'P n m a'
_space_group_IT_number 62
_cell_length_a 15.2598
_cell_length_b 5.2540
_cell_length_c 7.6982
_cell_angle_alpha 90.00
_cell_angle_beta 90.00
_cell_angle_gamma 90.00
loop_
_space_group_symop_operation_xyz
'x,y,z'
'-x,-y,-z'
'-x+1/2,-y,z+1/2'
'x+1/2,y,-z+1/2'
'x+1/2,-y+1/2,-z+1/2'
'-x+1/2,y+1/2,z+1/2'
'-x,y+1/2,-z'
'x,-y+1/2,z'
loop_
_atom_site_label
_atom_site_type_symbol
_atom_site_fract_x
_atom_site_fract_y
_atom_site_fract_z
_atom_site_occupancy
Ta1 Ta 0.1213 0.2500 0.1473 1
P1 P 0.0071 0.2500 0.7632 1
P2 P 0.1918 0.7500 0.8949 1
O1 O 0.0352 0.2500 0.9569 1
O2 O 0.0540 0.5159 0.2624 1
O3 O 0.0851 0.2500 0.6422 1
O4 O 0.1206 0.7500 0.7566 1
O5 O 0.1856 0.5123 0.0120 1
O6 O 0.2142 0.2500 0.3176 1
```



# 6
Ca2ScAu2 | SCAN | PBEsol geometry

DOS(E_F): 3.31 states/eV/f.u.
Formation energy: -0.820 eV/atom
Crystal system: tetragonal
Raw total energy: -35.195 eV/atom

The structure in CIF format:
```
data_Ca2ScAu2
_space_group_name_H-M_alt 'P 4/m b m'
_space_group_IT_number 127
_space_group_name_Hall '-P 4 2ab'
_cell_length_a 7.3880
_cell_length_b 7.3880
_cell_length_c 4.4015
_cell_angle_alpha 90.00
_cell_angle_beta 90.00
_cell_angle_gamma 90.00
loop_
_atom_site_label
_atom_site_type_symbol
_atom_site_fract_x
_atom_site_fract_y
_atom_site_fract_z
_atom_site_occupancy
Ca1 Ca 0.1670 0.3330 0.0000 1
Sc1 Sc 0.0000 0.0000 0.5000 1
Au1 Au 0.1376 0.6376 0.5000 1
```



# 7
CoBi2Os | SCAN | PBEsol geometry

DOS(E_F): 3.22 states/eV/f.u.
Formation energy: 1.121 eV/atom
Crystal system: tetragonal
Raw total energy: -60.465 eV/atom

The structure in CIF format:
```
data_CoBi2Os
_space_group_name_H-M_alt 'I -4 2 d'
_space_group_IT_number 122
_space_group_name_Hall 'I -4 2bw'
_cell_length_a 5.9067
_cell_length_b 5.9067
_cell_length_c 11.8212
_cell_angle_alpha 90.00
_cell_angle_beta 90.00
_cell_angle_gamma 90.00
loop_
_atom_site_label
_atom_site_type_symbol
_atom_site_fract_x
_atom_site_fract_y
_atom_site_fract_z
_atom_site_occupancy
Co1 Co 0.0000 0.0000 0.0000 1
Bi1 Bi 0.2319 0.2500 0.1250 1
Os1 Os 0.0000 0.0000 0.5000 1
```



# 8
TiTe3O8 | SCAN | PBEsol geometry

DOS(E_F): 0.00 states/eV/f.u.
Formation energy (no corrections): -1.67 eV/atom
Crystal system: cubic
Raw total energy: -16.475 eV/atom

The structure in CIF format:
```
data_TiTe3O8
_space_group_name_H-M_alt 'I a -3'
_space_group_IT_number 206
_space_group_name_Hall '-I 2b 2c 3'
_cell_length_a 10.8822
_cell_length_b 10.8822
_cell_length_c 10.8822
_cell_angle_alpha 90.00
_cell_angle_beta 90.00
_cell_angle_gamma 90.00
loop_
_atom_site_label
_atom_site_type_symbol
_atom_site_fract_x
_atom_site_fract_y
_atom_site_fract_z
_atom_site_occupancy
Ti1 Ti 0.0000 0.0000 0.0000 1
Te1 Te 0.0000 0.2500 0.2172 1
O1 O 0.0643 0.1297 0.6065 1
O2 O 0.1739 0.1739 0.1739 1
```



# 9
Mn2H2Ir | SCAN | PBEsol geometry

DOS(E_F): 3.13 states/eV/f.u.
Crystal system: tetragonal
Raw total energy: -23.076 eV/atom

The structure in CIF format:
```
data_Mn2H2Ir
_space_group_name_H-M_alt 'I 4/m m m'
_space_group_IT_number 139
_space_group_name_Hall '-I 4 2'
_cell_length_a 2.6740
_cell_length_b 2.6740
_cell_length_c 11.5921
_cell_angle_alpha 90.00
_cell_angle_beta 90.00
_cell_angle_gamma 90.00
loop_
_atom_site_label
_atom_site_type_symbol
_atom_site_fract_x
_atom_site_fract_y
_atom_site_fract_z
_atom_site_occupancy
Mn1 Mn 0.0000 0.0000 0.1529 1
H1 H 0.0000 0.5000 0.2500 1
Ir1 Ir 0.0000 0.0000 0.5000 1
```



# 10
SrAg2Cl | SCAN | PBEsol geometry

Excess energy over the best structure of this formula in the dataset: 0.230 eV/atom
DOS(E_F): 1.41 states/eV/f.u.
Formation energy (no corrections): -0.58 eV/atom
Crystal system: tetragonal
Raw total energy: -23.828 eV/atom

The structure in CIF format:
```
data_SrAg2Cl
_space_group_name_H-M_alt 'P 4/m m m'
_space_group_IT_number 123
_space_group_name_Hall '-P 4 2'
_cell_length_a 4.3466
_cell_length_b 4.3466
_cell_length_c 5.4792
_cell_angle_alpha 90.00
_cell_angle_beta 90.00
_cell_angle_gamma 90.00
loop_
_atom_site_label
_atom_site_type_symbol
_atom_site_fract_x
_atom_site_fract_y
_atom_site_fract_z
_atom_site_occupancy
Sr1 Sr 0.0000 0.0000 0.0000 1
Ag1 Ag 0.5000 0.5000 0.2495 1
Cl1 Cl 0.0000 0.0000 0.5000 1
```



# 11
NbBi2O5F | SCAN | PBEsol geometry

Excess energy over the best structure of this formula in the dataset: 0.000 eV/atom
DOS(E_F): 0.00 states/eV/f.u.
Formation energy (no corrections): -2.03 eV/atom
Crystal system: orthorhombic
Raw total energy: -27.028 eV/atom

The structure in CIF format:
```
data_NbBi2O5F
_space_group_name_H-M_alt 'P c a 21'
_space_group_IT_number 29
_cell_length_a 5.4192
_cell_length_b 16.6124
_cell_length_c 5.3992
_cell_angle_alpha 90.00
_cell_angle_beta 90.00
_cell_angle_gamma 90.00
loop_
_space_group_symop_operation_xyz
'x,y,z'
'-x,-y,z+1/2'
'-x+1/2,y,z+1/2'
'x+1/2,-y,z'
loop_
_atom_site_label
_atom_site_type_symbol
_atom_site_fract_x
_atom_site_fract_y
_atom_site_fract_z
_atom_site_occupancy
Nb1 Nb 0.0103 0.2488 0.0000 1
Bi1 Bi 0.0055 0.5764 0.9951 1
Bi2 Bi 0.0215 0.0770 0.4681 1
O1 O 0.0727 0.1376 0.0244 1
O2 O 0.2022 0.2827 0.3065 1
O3 O 0.2083 0.7507 0.2175 1
O4 O 0.2448 0.9983 0.7309 1
O5 O 0.2489 0.4961 0.7501 1
F1 F 0.0514 0.6204 0.5041 1
```



# 12
Cd2PAu | SCAN | PBEsol geometry

DOS(E_F): 1.55 states/eV/f.u.
Formation energy: 0.054 eV/atom
Crystal system: trigonal
Raw total energy: -35.042 eV/atom

The structure in CIF format:
```
data_Cd2PAu
_space_group_name_H-M_alt 'R -3 m'
_space_group_IT_number 166
_space_group_name_Hall '-R 3 2"'
_cell_length_a 3.8310
_cell_length_b 3.8310
_cell_length_c 19.3293
_cell_angle_alpha 90.00
_cell_angle_beta 90.00
_cell_angle_gamma 120.00
loop_
_atom_site_label
_atom_site_type_symbol
_atom_site_fract_x
_atom_site_fract_y
_atom_site_fract_z
_atom_site_occupancy
Cd1 Cd 0.0000 0.0000 0.2436 1
P1 P 0.0000 0.0000 0.5000 1
Au1 Au 0.0000 0.0000 0.0000 1
```



# 13
CuI | SCAN | PBEsol geometry

DOS(E_F): 0.00 states/eV/f.u.
Formation energy (no corrections): -0.13 eV/atom
Crystal system: trigonal
Raw total energy: -26.101 eV/atom

The structure in CIF format:
```
data_CuI
_space_group_name_H-M_alt 'P 3 m 1'
_space_group_IT_number 156
_cell_length_a 4.0559
_cell_length_b 4.0559
_cell_length_c 21.4205
_cell_angle_alpha 90.00
_cell_angle_beta 90.00
_cell_angle_gamma 120.00
loop_
_space_group_symop_operation_xyz
'x,y,z'
'-y,x-y,z'
'-x+y,-x,z'
'-y,-x,z'
'-x+y,y,z'
'x,x-y,z'
loop_
_atom_site_label
_atom_site_type_symbol
_atom_site_fract_x
_atom_site_fract_y
_atom_site_fract_z
_atom_site_occupancy
Cu1 Cu 0.0000 0.0000 0.0000 1
Cu2 Cu 0.0000 0.0000 0.3331 1
Cu3 Cu 0.0000 0.0000 0.6664 1
Cu4 Cu 0.3333 0.6667 0.3960 1
Cu5 Cu 0.6667 0.3333 0.0628 1
Cu6 Cu 0.6667 0.3333 0.7290 1
I1 I 0.0000 0.0000 0.1197 1
I2 I 0.0000 0.0000 0.4528 1
I3 I 0.0000 0.0000 0.7860 1
I4 I 0.3333 0.6667 0.2762 1
I5 I 0.6667 0.3333 0.6093 1
I6 I 0.6667 0.3333 0.9430 1
```



# 14
NbTe2AuN | SCAN | PBEsol geometry

DOS(E_F): 3.49 states/eV/f.u.
Formation energy (no corrections): 0.34 eV/atom
Crystal system: tetragonal
Raw total energy: -36.877 eV/atom

The structure in CIF format:
```
data_NbTe2AuN
_space_group_name_H-M_alt 'P 4/m m m'
_space_group_IT_number 123
_space_group_name_Hall '-P 4 2'
_cell_length_a 5.4497
_cell_length_b 5.4497
_cell_length_c 3.8513
_cell_angle_alpha 90.00
_cell_angle_beta 90.00
_cell_angle_gamma 90.00
loop_
_atom_site_label
_atom_site_type_symbol
_atom_site_fract_x
_atom_site_fract_y
_atom_site_fract_z
_atom_site_occupancy
Nb1 Nb 0.0000 0.0000 0.0000 1
Te1 Te 0.0000 0.5000 0.0000 1
Au1 Au 0.5000 0.5000 0.5000 1
N1 N 0.0000 0.0000 0.5000 1
```



# 15
Ni3Se4Cl2O10 | SCAN | PBEsol geometry

DOS(E_F): 0.00 states/eV/f.u.
Formation energy (no corrections): -1.00 eV/atom
Crystal system: monoclinic
Raw total energy: -11.904 eV/atom

The structure in CIF format:
```
data_Ni3Se4Cl2O10
_space_group_name_H-M_alt 'C 1 2/m 1'
_space_group_IT_number 12
_cell_length_a 7.2646
_cell_length_b 13.6536
_cell_length_c 5.6198
_cell_angle_alpha 90.00
_cell_angle_beta 106.65
_cell_angle_gamma 90.00
loop_
_space_group_symop_operation_xyz
'x,y,z'
'-x,-y,-z'
'-x,y,-z'
'x,-y,z'
'x+1/2,y+1/2,z'
'-x+1/2,-y+1/2,-z'
'-x+1/2,y+1/2,-z'
'x+1/2,-y+1/2,z'
loop_
_atom_site_label
_atom_site_type_symbol
_atom_site_fract_x
_atom_site_fract_y
_atom_site_fract_z
_atom_site_occupancy
Ni1 Ni 0.0000 0.0000 0.0000 1
Ni2 Ni 0.0000 0.1260 0.5000 1
Se1 Se 0.1545 0.3384 0.7867 1
Cl1 Cl 0.1968 0.0000 0.7385 1
O1 O 0.0000 0.3882 0.5000 1
O2 O 0.1353 0.1090 0.2328 1
O3 O 0.1872 0.2201 0.7194 1
```



# 16
Y2CoOs | SCAN | PBEsol geometry

DOS(E_F): 2.89 states/eV/f.u.
Formation energy: -0.246 eV/atom
Crystal system: orthorhombic
Raw total energy: -36.464 eV/atom

The structure in CIF format:
```
data_Y2CoOs
_space_group_name_H-M_alt 'A m m 2'
_space_group_IT_number 38
_cell_length_a 4.0012
_cell_length_b 4.1950
_cell_length_c 9.9658
_cell_angle_alpha 90.00
_cell_angle_beta 90.00
_cell_angle_gamma 90.00
loop_
_space_group_symop_operation_xyz
'x,y,z'
'-x,-y,z'
'-x,y,z'
'x,-y,z'
'x,y+1/2,z+1/2'
'-x,-y+1/2,z+1/2'
'-x,y+1/2,z+1/2'
'x,-y+1/2,z+1/2'
loop_
_atom_site_label
_atom_site_type_symbol
_atom_site_fract_x
_atom_site_fract_y
_atom_site_fract_z
_atom_site_occupancy
Y1 Y 0.0000 0.0000 0.0000 1
Y2 Y 0.5000 0.0000 0.2930 1
Co1 Co 0.0000 0.0000 0.7030 1
Os1 Os 0.5000 0.0000 0.5932 1
```



# 17
Cs2VP2O8 | SCAN | PBEsol geometry

DOS(E_F): 0.00 states/eV/f.u.
Formation energy (no corrections): -2.59 eV/atom
Crystal system: orthorhombic
Raw total energy: -15.184 eV/atom

The structure in CIF format:
```
data_Cs2VP2O8
_space_group_name_H-M_alt 'P n m a'
_space_group_IT_number 62
_cell_length_a 13.2272
_cell_length_b 7.2524
_cell_length_c 9.5401
_cell_angle_alpha 90.00
_cell_angle_beta 90.00
_cell_angle_gamma 90.00
loop_
_space_group_symop_operation_xyz
'x,y,z'
'-x,-y,-z'
'-x+1/2,-y,z+1/2'
'x+1/2,y,-z+1/2'
'x+1/2,-y+1/2,-z+1/2'
'-x+1/2,y+1/2,z+1/2'
'-x,y+1/2,-z'
'x,-y+1/2,z'
loop_
_atom_site_label
_atom_site_type_symbol
_atom_site_fract_x
_atom_site_fract_y
_atom_site_fract_z
_atom_site_occupancy
Cs1 Cs 0.0947 0.2500 0.1309 1
Cs2 Cs 0.1013 0.7500 0.4167 1
V1 V 0.2106 0.7500 0.9805 1
P1 P 0.1582 0.0463 0.7275 1
O1 O 0.0512 0.5143 0.7060 1
O2 O 0.0964 0.7500 0.0376 1
O3 O 0.1613 0.2500 0.8003 1
O4 O 0.2178 0.0633 0.5884 1
O5 O 0.2224 0.5671 0.8302 1
```